A plane-wave DFT calculation with GGA-PBEsol was carried out for AsC after structural relaxation.

The space group is P4/mmm (No. 123) and the conventional cell measures 4.347, 4.347 and 4.095 Å, with angles of 90.00, 90.00 and 90.00 degrees. Symmetry generates all atoms from As at (0.000, 0.000, 0.000), As at (0.000, 0.500, 0.500), C at (0.000, 0.000, 0.500) and C at (0.000, 0.500, 0.000).

For the density of states at the Fermi level, the calculation gives 2.615 states/eV per cell. As for the energy of formation: 164 kJ/mol of atoms. As for the crystal system: tetragonal. The value obtained for the energy relative to the lowest polymorph listed for this composition is 1.211 eV/atom.

=====

A plane-wave DFT calculation with GGA-PBEsol was carried out for As2C after structural relaxation.

The space group is Cmcm (No. 63) and the conventional cell measures 2.881, 20.545 and 3.011 Å, with angles of 90.00, 90.00 and 90.00 degrees. Symmetry generates all atoms from As at (0.000, 0.065, 0.250), As at (0.000, 0.186, 0.750) and C at (0.000, 0.390, 0.250).

For the density of states at the Fermi level, the calculation gives 3.945 states/eV per cell. As for the energy of formation: 115 kJ/mol of atoms. As for the crystal system: orthorhombic. The value obtained for the energy relative to the lowest polymorph listed for this composition is 0.085 eV/atom.

=====

A plane-wave DFT calculation with GGA-PBEsol was carried out for As2C after structural relaxation.

The space group is I4_1/amd (No. 141, origin choice 2) and the conventional cell measures 2.925, 2.925 and 21.463 Å, with angles of 90.00, 90.00 and 90.00 degrees. Symmetry generates all atoms from As at (0.000, 0.250, 0.318) and C at (0.000, 0.250, 0.875).

For the density of states at the Fermi level, the calculation gives 5.638 states/eV per cell. As for the energy of formation: 145 kJ/mol of atoms. As for the crystal system: tetragonal. The value obtained for the energy relative to the lowest polymorph listed for this composition is 0.399 eV/atom.

=====

A plane-wave DFT calculation with GGA-PBEsol was carried out for AsC after structural relaxation.

The space group is P4/mmm (No. 123) and the conventional cell measures 2.891, 2.891 and 3.089 Å, with angles of 90.00, 90.00 and 90.00 degrees. Symmetry generates all atoms from As at (0.000, 0.000, 0.000) and C at (0.500, 0.500, 0.000).

For the density of states at the Fermi level, the calculation gives 0.758 states/eV per cell. As for the energy of formation: 162 kJ/mol of atoms. As for the crystal system: tetragonal. The value obtained for the energy relative to the lowest polymorph listed for this composition is 1.183 eV/atom.

=====

A plane-wave DFT calculation with GGA-PBEsol was carried out for As2C after structural relaxation.

The space group is P6_3/mmc (No. 194) and the conventional cell measures 2.9552, 2.9552 and 19.5662 Å, with angles of 90.00, 90.00 and 120.00 degrees. Symmetry generates all atoms from As at (0.3333, 0.6667, 0.0693) and C at (0.0000, 0.0000, 0.0000).

For the density of states at the Fermi level, the calculation gives 1.664 states/eV per cell. As for the energy of formation: 107 kJ/mol of atoms. As for the crystal system: hexagonal. The value obtained for the energy relative to the lowest polymorph listed for this composition is 0.000 eV/atom.

=====

A plane-wave DFT calculation with GGA-PBEsol was carried out for AsC4 after structural relaxation.

The space group is I4/mmm (No. 139) and the conventional cell measures 5.015, 5.015 and 7.411 Å, with angles of 90.00, 90.00 and 90.00 degrees. Symmetry generates all atoms from As at (0.000, 0.000, 0.000) and C at (0.000, 0.377, 0.000).

For the density of states at the Fermi level, the calculation gives 1.920 states/eV per cell. As for the energy of formation: 187 kJ/mol of atoms. As for the crystal system: tetragonal.

=====

A plane-wave DFT calculation with GGA-PBEsol was carried out for AsC after structural relaxation.

The space group is Pmmn (No. 59, origin choice 2) and the conventional cell measures 3.157, 4.416 and 3.300 Å, with angles of 90.00, 90.00 and 90.00 degrees. Symmetry generates all atoms from As at (0.250, 0.250, 0.207) and C at (0.250, 0.750, 0.186).

For the density of states at the Fermi level, the calculation gives 1.015 states/eV per cell. As for the energy of formation: 130 kJ/mol of atoms. As for the crystal system: orthorhombic. The value obtained for the energy relative to the lowest polymorph listed for this composition is 0.857 eV/atom.

=====

A plane-wave DFT calculation with GGA-PBEsol was carried out for AsC after structural relaxation.

The space group is C2/m (No. 12) and the conventional cell measures 10.831, 3.056 and 3.056 Å, with angles of 90.00, 106.08 and 90.00 degrees. Symmetry generates all atoms from As at (0.142, 0.000, 0.145) and C at (0.163, 0.500, 0.664).

For the density of states at the Fermi level, the calculation gives 2.521 states/eV per cell. As for the energy of formation: 132 kJ/mol of atoms. As for the crystal system: monoclinic. The value obtained for the energy relative to the lowest polymorph listed for this composition is 0.876 eV/atom.

=====

A plane-wave DFT calculation with GGA-PBEsol was carried out for AsC after structural relaxation.

The space group is Cmcm (No. 63) and the conventional cell measures 3.122, 13.205 and 2.620 Å, with angles of 90.00, 90.00 and 90.00 degrees. Symmetry generates all atoms from As at (0.000, 0.132, 0.250) and C at (0.000, 0.470, 0.750).

For the density of states at the Fermi level, the calculation gives 0.996 states/eV per cell. As for the energy of formation: 48 kJ/mol of atoms. As for the crystal system: orthorhombic. The value obtained for the energy relative to the lowest polymorph listed for this composition is 0.000 eV/atom.

=====

A plane-wave DFT calculation with GGA-PBEsol was carried out for CdAsC2 after structural relaxation.

The space group is Fm-3m (No. 225) and the conventional cell measures 5.847, 5.847 and 5.847 Å, with angles of 90.00, 90.00 and 90.00 degrees. Symmetry generates all atoms from Cd at (0.000, 0.000, 0.000), As at (0.000, 0.000, 0.500) and C at (0.250, 0.250, 0.250).

For the density of states at the Fermi level, the calculation gives 7.874 states/eV per cell. As for the energy of formation: 218 kJ/mol of atoms. As for the crystal system: cubic.

=====

A plane-wave DFT calculation with GGA-PBEsol was carried out for CdReAs2C after structural relaxation.

The space group is P4/mmm (No. 123) and the conventional cell measures 4.919, 4.919 and 5.171 Å, with angles of 90.00, 90.00 and 90.00 degrees. Symmetry generates all atoms from Cd at (0.000, 0.000, 0.000), Re at (0.000, 0.000, 0.500), As at (0.000, 0.500, 0.000) and C at (0.500, 0.500, 0.500).

For the density of states at the Fermi level, the calculation gives 3.652 states/eV per cell. As for the energy of formation: 310 kJ/mol of atoms. As for the crystal system: tetragonal.

=====

A plane-wave DFT calculation with GGA-PBEsol was carried out for CdAsCSe2 after structural relaxation.

The space group is P4/mmm (No. 123) and the conventional cell measures 5.096, 5.096 and 5.096 Å, with angles of 90.00, 90.00 and 90.00 degrees. Symmetry generates all atoms from Cd at (0.000, 0.000, 0.000), As at (0.000, 0.000, 0.500), C at (0.500, 0.500, 0.500) and Se at (0.000, 0.500, 0.000).

For the density of states at the Fermi level, the calculation gives 6.345 states/eV per cell. For the formation energy from raw total energies, the calculation gives 2.166 eV/atom. As for the crystal system: tetragonal. The value obtained for the energy relative to the lowest polymorph listed for this composition is 1.251 eV/atom.

=====

- Which formula does entry 5 have?
  As2C